Record 1
## RbTlS2 (PBE-GGA)

Data for a relaxed structure of RbTlS2.

## Properties
**Electronic total energy**: -3.502 eV/atom
**E above lowest polymorph**: 3.0 kJ/mol of atoms
**Space-group type**: Pna2_1
**ρ**: 4.46 Mg/m³
**E_form (uncorrected)**: -0.605 eV/atom

Cell lengths 6.8627, 11.1958, 6.8667 Å; angles 90.00, 90.00, 90.00 degrees
Closest atoms and distances in Å follow each position.
Positions (direct):
Rb: 0.0049 0.1239 0.0000  6 S 3.29-3.62
Rb: 0.4951 0.6239 0.5000  6 S 3.29-3.62
Rb: 0.5049 0.3761 0.0000  6 S 3.29-3.62
Rb: 0.9951 0.8761 0.5000  6 S 3.29-3.62
Tl: 0.0447 0.6251 0.9520  4 S 2.54-2.62
Tl: 0.4553 0.1251 0.4520  4 S 2.54-2.62
Tl: 0.5447 0.8749 0.9520  4 S 2.54-2.62
Tl: 0.9553 0.3749 0.4520  4 S 2.54-2.62
S: 0.0049 0.5863 0.5780  2 Tl 2.54-2.62
S: 0.0845 0.1662 0.5163  2 Tl 2.54-2.62
S: 0.4155 0.6662 0.0163  2 Tl 2.54-2.62
S: 0.4951 0.0863 0.0780  2 Tl 2.54-2.62
S: 0.5049 0.9137 0.5780  2 Tl 2.54-2.62
S: 0.5845 0.3338 0.5163  2 Tl 2.54-2.62
S: 0.9155 0.8338 0.0163  2 Tl 2.54-2.62
S: 0.9951 0.4137 0.0780  2 Tl 2.54-2.62


Record 2
## Li2AlCd6 (PBE-GGA)

Data for a relaxed structure of Li2AlCd6.

## Properties
**Electronic total energy**: -1.527 eV/atom
**Calculated formation energy**: -0.076 eV per atom
**Space-group type**: C2/c
**ρ**: 6.39 Mg/m³

Cell lengths 8.6389, 8.6389, 5.1816 Å; angles 97.54, 97.54, 77.42 degrees
Closest atoms and distances in Å follow each position.
Positions (direct):
Li: 0.0383 0.2971 0.0842  10 Cd 2.92-3.09
Li: 0.2971 0.0383 0.5842  10 Cd 2.92-3.09
Li: 0.7029 0.9617 0.4158  10 Cd 2.92-3.09
Li: 0.9617 0.7029 0.9158  10 Cd 2.92-3.09
Al: 0.3503 0.6497 0.7500  8 Cd 2.92-3.05
Al: 0.6497 0.3503 0.2500  8 Cd 2.92-3.05
Cd: 0.0601 0.8228 0.4745  5 Cd 2.90-3.17, 4 Li 2.92-3.05, 1 Al 2.92
Cd: 0.1542 0.3996 0.6422  5 Cd 2.90-3.15, 4 Li 2.92-3.09, 1 Al 2.98
Cd: 0.1772 0.9399 0.0255  5 Cd 2.90-3.17, 4 Li 2.92-3.05, 1 Al 2.92
Cd: 0.2648 0.5142 0.1891  2 Al 2.93-3.05, 5 Cd 2.94-3.17, 2 Li 2.95-3.05
Cd: 0.3996 0.1542 0.1422  5 Cd 2.90-3.15, 4 Li 2.92-3.09, 1 Al 2.98
Cd: 0.4858 0.7352 0.3109  2 Al 2.93-3.05, 5 Cd 2.94-3.17, 2 Li 2.95-3.05
Cd: 0.5142 0.2648 0.6891  2 Al 2.93-3.05, 5 Cd 2.94-3.17, 2 Li 2.95-3.05
Cd: 0.6004 0.8458 0.8578  5 Cd 2.90-3.15, 4 Li 2.92-3.09, 1 Al 2.98
Cd: 0.7352 0.4858 0.8109  2 Al 2.93-3.05, 5 Cd 2.94-3.17, 2 Li 2.95-3.05
Cd: 0.8228 0.0601 0.9745  5 Cd 2.90-3.17, 4 Li 2.92-3.05, 1 Al 2.92
Cd: 0.8458 0.6004 0.3578  5 Cd 2.90-3.15, 4 Li 2.92-3.09, 1 Al 2.98
Cd: 0.9399 0.1772 0.5255  5 Cd 2.90-3.17, 4 Li 2.92-3.05, 1 Al 2.92


Record 3
## GdLuCuNi (PBE-GGA)

Data for a relaxed structure of GdLuCuNi.

## Properties
**Electronic total energy**: -7.449 eV/atom
**Calculated formation energy**: -0.329 eV per atom
**Space-group type**: F-43m
**ρ**: 9.59 Mg/m³

Cell lengths 4.8097, 4.8097, 4.8097 Å; angles 60.00, 60.00, 60.00 degrees
Closest atoms and distances in Å follow each position.
Positions (direct):
Gd: 0.0000 0.0000 0.0000  4 Ni 2.95, 4 Cu 2.95
Lu: 0.5000 0.5000 0.5000  4 Cu 2.95, 4 Ni 2.95
Cu: 0.7500 0.7500 0.7500  4 Gd 2.95, 4 Lu 2.95
Ni: 0.2500 0.2500 0.2500  4 Lu 2.95, 4 Gd 2.95


Record 4
## Rb3ErPa3Se8 (PBE-GGA)

Data for a relaxed structure of Rb3ErPa3Se8.

## Properties
**Electronic total energy**: -5.689 eV/atom
**Space-group type**: R-3m
**ρ**: 5.86 Mg/m³
**E_form (uncorrected)**: -1.434 eV/atom

Cell lengths 9.5600, 9.5600, 9.5600 Å; angles 51.56, 51.56, 51.56 degrees
Closest atoms and distances in Å follow each position.
Positions (direct):
Rb: 0.0000 0.5000 0.5000  6 Se 3.44-3.48
Rb: 0.5000 0.0000 0.5000  6 Se 3.44-3.48
Rb: 0.5000 0.5000 0.0000  6 Se 3.44-3.48
Er: 0.5000 0.5000 0.5000  6 Se 2.88
Pa: 0.0000 0.0000 0.5000  6 Se 2.90-2.92
Pa: 0.0000 0.5000 0.0000  6 Se 2.90-2.92
Pa: 0.5000 0.0000 0.0000  6 Se 2.90-2.92
Se: 0.2340 0.2340 0.2340  3 Pa 2.92
Se: 0.2338 0.7306 0.7306  1 Er 2.88, 2 Pa 2.90
Se: 0.2694 0.2694 0.7662  1 Er 2.88, 2 Pa 2.90
Se: 0.2694 0.7662 0.2694  1 Er 2.88, 2 Pa 2.90
Se: 0.7306 0.2338 0.7306  1 Er 2.88, 2 Pa 2.90
Se: 0.7306 0.7306 0.2338  1 Er 2.88, 2 Pa 2.90
Se: 0.7662 0.2694 0.2694  1 Er 2.88, 2 Pa 2.90
Se: 0.7660 0.7660 0.7660  3 Pa 2.92


Record 5
## NaZrSb2P (PBE-GGA)

Data for a relaxed structure of NaZrSb2P.

## Properties
**Electronic total energy**: -3.791 eV/atom
**Space-group type**: P4/mmm
**ρ**: 4.99 Mg/m³
**E_form (uncorrected)**: 0.913 eV/atom

Cell lengths 5.2443, 5.2443, 4.6991 Å; angles 90.00, 90.00, 90.00 degrees
Closest atoms and distances in Å follow each position.
Positions (direct):
Na: 0.0000 0.0000 0.0000  2 P 2.35, 4 Sb 2.62
Zr: 0.5000 0.5000 0.5000  8 Sb 3.52, 4 P 3.71
Sb: 0.0000 0.5000 0.0000  2 Na 2.62
Sb: 0.5000 0.0000 0.0000  2 Na 2.62
P: 0.0000 0.0000 0.5000  2 Na 2.35


Record 6
## Ac2TiSe2O2 (PBE-GGA)

Data for a relaxed structure of Ac2TiSe2O2.

## Properties
**Electronic total energy**: -7.130 eV/atom
**Space-group type**: I4/mmm
**ρ**: 8.07 Mg/m³
**E_form (uncorrected)**: -2.416 eV/atom

Cell lengths 8.4467, 8.4467, 8.4467 Å; angles 150.88, 150.88, 41.65 degrees
Closest atoms and distances in Å follow each position.
Positions (direct):
Ac: 0.1187 0.1187 0.0000  4 O 2.83, 4 Se 3.13
Ac: 0.8813 0.8813 0.0000  4 O 2.83, 4 Se 3.13
Ti: 0.5000 0.5000 0.0000  4 O 2.12
Se: 0.3256 0.3256 0.0000  1 Ti 2.75
Se: 0.6744 0.6744 0.0000  1 Ti 2.75
O: 0.0000 0.5000 0.5000  2 Ti 2.12
O: 0.5000 0.0000 0.5000  2 Ti 2.12